Here is a geometry-optimized AcLaMo2O8 structure from Alexandria via LeMat-Bulk. Energies are from GGA+U.

Lattice parameters (Å, degrees): 5.500 5.500 11.928 90.00 90.00 90.00
Space group I-4 (No. 82)
Unique sites:
Ac: 0.000 0.000 0.000 [2 per cell]
La: 0.000 0.500 0.750 [2 per cell]
Mo: 0.000 0.000 0.500 [2 per cell]
Mo: 0.000 0.500 0.250 [2 per cell]
O: 0.153 0.230 0.583 [8 per cell]
O: 0.172 0.757 0.165 [8 per cell]

Calculated values
V: 15.04 Å³ per atom
Total energy: -7.682 eV per atom